(1)
BiSbTeI2: optimized geometry, PBE.

Properties
- raw formation energy (eV/atom) = 0.35
- ΔE to the lowest computed polymorph (meV/atom) = 0.0

CIF file:
```
data_BiSbTeI2
_chemical_formula_sum 'Bi1 Sb1 Te1 I2'
_space_group_name_H-M_alt 'P 1'
_space_group_IT_number 1
_cell_length_a 5.8635
_cell_length_b 5.8635
_cell_length_c 6.0871
_cell_angle_alpha 90.00
_cell_angle_beta 90.00
_cell_angle_gamma 90.00
loop_
_space_group_symop_operation_xyz
'x,y,z'
loop_
_atom_site_label
_atom_site_type_symbol
_atom_site_fract_x
_atom_site_fract_y
_atom_site_fract_z
Bi1 Bi 0.0000 0.0000 0.0000
Sb1 Sb 0.5000 0.5000 0.5000
Te1 Te 0.5000 0.5000 0.0000
I1 I 0.0000 0.5000 0.5000
I2 I 0.5000 0.0000 0.5000
```

***

(2)
NaHfAs: optimized geometry, PBE.

Properties
- formation energy from the elements (eV per atom) = -0.3930

CIF file:
```
data_NaHfAs
_chemical_formula_sum 'Na2 Hf2 As2'
_space_group_name_H-M_alt 'P 1'
_space_group_IT_number 1
_cell_length_a 10.9109
_cell_length_b 10.9109
_cell_length_c 10.9109
_cell_angle_alpha 22.69
_cell_angle_beta 22.69
_cell_angle_gamma 22.69
loop_
_space_group_symop_operation_xyz
'x,y,z'
loop_
_atom_site_label
_atom_site_type_symbol
_atom_site_fract_x
_atom_site_fract_y
_atom_site_fract_z
Na1 Na 0.1171 0.1171 0.1171
Na2 Na 0.8829 0.8829 0.8829
Hf1 Hf 0.3036 0.3036 0.3036
Hf2 Hf 0.6964 0.6964 0.6964
As1 As 0.3932 0.3932 0.3932
As2 As 0.6068 0.6068 0.6068
```

***

(3)
KZnGeAu3: optimized geometry, PBE.

Properties
- formation energy from the elements (eV per atom) = -0.1611

CIF file:
```
data_KZnGeAu3
_chemical_formula_sum 'K2 Zn2 Ge2 Au6'
_space_group_name_H-M_alt 'P 1'
_space_group_IT_number 1
_cell_length_a 7.2174
_cell_length_b 7.2174
_cell_length_c 7.0013
_cell_angle_alpha 90.00
_cell_angle_beta 90.00
_cell_angle_gamma 123.44
loop_
_space_group_symop_operation_xyz
'x,y,z'
loop_
_atom_site_label
_atom_site_type_symbol
_atom_site_fract_x
_atom_site_fract_y
_atom_site_fract_z
K1 K 0.2334 0.7666 0.7500
K2 K 0.7666 0.2334 0.2500
Zn1 Zn 0.4892 0.5108 0.2500
Zn2 Zn 0.5108 0.4892 0.7500
Ge1 Ge 0.0908 0.9092 0.2500
Ge2 Ge 0.9092 0.0908 0.7500
Au1 Au 0.2234 0.2234 0.0000
Au2 Au 0.2234 0.2234 0.5000
Au3 Au 0.2873 0.7127 0.2500
Au4 Au 0.7127 0.2873 0.7500
Au5 Au 0.7766 0.7766 0.0000
Au6 Au 0.7766 0.7766 0.5000
```

***

(4)
CaPd4Au3: optimized geometry, PBE.

Properties
- formation energy from the elements (eV per atom) = -0.3342

CIF file:
```
data_CaPd4Au3
_chemical_formula_sum 'Ca2 Pd8 Au6'
_space_group_name_H-M_alt 'P 1'
_space_group_IT_number 1
_cell_length_a 9.3870
_cell_length_b 6.0621
_cell_length_c 4.9251
_cell_angle_alpha 90.00
_cell_angle_beta 90.00
_cell_angle_gamma 90.00
loop_
_space_group_symop_operation_xyz
'x,y,z'
loop_
_atom_site_label
_atom_site_type_symbol
_atom_site_fract_x
_atom_site_fract_y
_atom_site_fract_z
Ca1 Ca 0.0000 0.0000 0.0000
Ca2 Ca 0.5000 0.0000 0.0000
Pd1 Pd 0.0000 0.2586 0.5000
Pd2 Pd 0.0000 0.7414 0.5000
Pd3 Pd 0.2500 0.2628 0.1427
Pd4 Pd 0.2500 0.7372 0.1427
Pd5 Pd 0.5000 0.2586 0.5000
Pd6 Pd 0.5000 0.7414 0.5000
Pd7 Pd 0.7500 0.2628 0.8573
Pd8 Pd 0.7500 0.7372 0.8573
Au1 Au 0.0000 0.5000 0.0000
Au2 Au 0.2500 0.0000 0.6064
Au3 Au 0.2500 0.5000 0.6473
Au4 Au 0.5000 0.5000 0.0000
Au5 Au 0.7500 0.0000 0.3936
Au6 Au 0.7500 0.5000 0.3527
```

***

(5)
Mg2SnRh: optimized geometry, PBE.

Properties
- formation energy from the elements (eV per atom) = -0.3632

CIF file:
```
data_Mg2SnRh
_chemical_formula_sum 'Mg2 Sn1 Rh1'
_space_group_name_H-M_alt 'P 1'
_space_group_IT_number 1
_cell_length_a 3.2700
_cell_length_b 3.2700
_cell_length_c 7.0907
_cell_angle_alpha 90.00
_cell_angle_beta 90.00
_cell_angle_gamma 90.00
loop_
_space_group_symop_operation_xyz
'x,y,z'
loop_
_atom_site_label
_atom_site_type_symbol
_atom_site_fract_x
_atom_site_fract_y
_atom_site_fract_z
Mg1 Mg 0.0000 0.0000 0.2013
Mg2 Mg 0.0000 0.0000 0.7987
Sn1 Sn 0.5000 0.5000 0.5000
Rh1 Rh 0.5000 0.5000 0.0000
```

***

(6)
CeMg2Zn4: optimized geometry, PBE.

Properties
- formation energy from the elements (eV per atom) = -0.1580

CIF file:
```
data_CeMg2Zn4
_chemical_formula_sum 'Ce1 Mg2 Zn4'
_space_group_name_H-M_alt 'P 1'
_space_group_IT_number 1
_cell_length_a 9.4359
_cell_length_b 9.4359
_cell_length_c 9.4359
_cell_angle_alpha 158.93
_cell_angle_beta 152.50
_cell_angle_gamma 34.90
loop_
_space_group_symop_operation_xyz
'x,y,z'
loop_
_atom_site_label
_atom_site_type_symbol
_atom_site_fract_x
_atom_site_fract_y
_atom_site_fract_z
Ce1 Ce 0.0000 0.0000 0.0000
Mg1 Mg 0.3026 0.8026 0.5000
Mg2 Mg 0.6974 0.1974 0.5000
Zn1 Zn 0.1472 0.6472 0.5000
Zn2 Zn 0.4263 0.4263 0.0000
Zn3 Zn 0.5737 0.5737 0.0000
Zn4 Zn 0.8528 0.3528 0.5000
```